A geometry-optimized PmBi2WO8 structure. Source: Alexandria, functional PBE+U.

Values from the calculation:
**Symmetry**: No. 65
**Calculated density**: 7.83 Mg/m³
**Total energy**: -81.90 eV for the cell shown
**Density of states at the Fermi level**: 3.826 states/eV/f.u.

Unit cell a=5.1793 b=5.1805 c=6.9189 alpha=90.00 beta=90.00 gamma=89.50
Closest atoms and distances in Å follow each position.
Element x y z (fractional)
O 0.2658 0.2665 0.0000  1 W 1.96
O 0.1806 0.8200 0.2115  1 W 1.97
O 0.1806 0.8201 0.7885  1 W 1.97
O 0.7342 0.7335 0.0000  1 W 1.96
O 0.6851 0.6841 0.5000  2 Bi 2.23, 1 Pm 2.32
O 0.3149 0.3159 0.5000  2 Bi 2.23, 1 Pm 2.32
O 0.8194 0.1799 0.2115  1 W 1.97
O 0.8194 0.1800 0.7885  1 W 1.97
W 0.0000 0.0000 0.0000  6 O 1.96-1.97
Pm 0.0000 0.0000 0.5000  6 O 2.32-2.39
Bi 0.5000 0.5000 0.2445  6 O 2.23-2.41
Bi 0.5000 0.5000 0.7555  6 O 2.23-2.41